[1]
Below is a relaxed Sr3GeI8 crystal, with properties calculated at the PBE-GGA level.

Structure (CIF):
```
data_Sr3GeI8
_cell_length_a 9.306
_cell_length_b 13.714
_cell_length_c 9.264
_cell_angle_alpha 90.00
_cell_angle_beta 90.00
_cell_angle_gamma 90.00
_symmetry_space_group_name_H-M 'C 2 2 2'
_symmetry_Int_Tables_number 21
loop_
_symmetry_equiv_pos_as_xyz
'x,y,z'
'-x,-y,z'
'x,-y,-z'
'-x,y,-z'
'x+1/2,y+1/2,z'
'-x+1/2,-y+1/2,z'
'x+1/2,-y+1/2,-z'
'-x+1/2,y+1/2,-z'
loop_
_atom_site_label
_atom_site_type_symbol
_atom_site_fract_x
_atom_site_fract_y
_atom_site_fract_z
_atom_site_occupancy
Sr1 Sr 0.000 0.000 0.000 1
Sr2 Sr 0.250 0.250 0.746 1
Ge1 Ge 0.000 0.000 0.500 1
I1 I 0.000 0.222 0.500 1
I2 I 0.000 0.241 0.000 1
I3 I 0.235 0.009 0.732 1
```

Values from the calculation:
ΔE_f (raw) = -1546 kJ/mol of formula units
magnetic moment = 0.00 μB/cell
DOS at the Fermi energy = 0.00 states/eV per cell

=====

[2]
Below is a relaxed SrGeI5 crystal, with properties calculated at the PBE-GGA level.

Structure (CIF):
```
data_SrGeI5
_cell_length_a 13.091
_cell_length_b 9.063
_cell_length_c 11.909
_cell_angle_alpha 90.00
_cell_angle_beta 116.00
_cell_angle_gamma 90.00
_symmetry_space_group_name_H-M 'C 1 2/c 1'
_symmetry_Int_Tables_number 15
loop_
_symmetry_equiv_pos_as_xyz
'x,y,z'
'-x,-y,-z'
'-x,y,-z+1/2'
'x,-y,z+1/2'
'x+1/2,y+1/2,z'
'-x+1/2,-y+1/2,-z'
'-x+1/2,y+1/2,-z+1/2'
'x+1/2,-y+1/2,z+1/2'
loop_
_atom_site_label
_atom_site_type_symbol
_atom_site_fract_x
_atom_site_fract_y
_atom_site_fract_z
_atom_site_occupancy
Sr1 Sr 0.000 0.089 0.250 1
Ge1 Ge 0.000 0.500 0.000 1
I1 I 0.000 0.454 0.250 1
I2 I 0.020 0.185 0.530 1
I3 I 0.244 0.457 0.115 1
```

Values from the calculation:
ΔE_f (raw) = -489 kJ/mol of formula units
magnetic moment = 0.00 μB/cell
DOS at the Fermi energy = 18.58 states/eV per cell